Compound: MgAg
Source: Alexandria via LeMat-Bulk
Functional: PBE
Structure: relaxed Values from VASP.

Results
calculated density: 5.0 g/cm³
DOS at the Fermi energy: 0.237 states/eV/atom
energy of formation: -3 kJ/mol of atoms
DFT total energy: -2.2547 eV per atom

```
&SYSTEM
  ibrav = 0, nat = 4, ntyp = 2
/
ATOMIC_SPECIES
Ag 107.87 Ag.upf
Mg 24.30 Mg.upf
CELL_PARAMETERS angstrom
-3.314 -1.669 1.991
2.536 -2.459 -2.292
3.249 -0.949 4.614
ATOMIC_POSITIONS angstrom
Ag 0.000 0.000 0.000
Ag 1.625 -0.474 2.307
Mg 1.398 -2.433 0.289
Mg 1.073 -2.644 4.024
```

Compound: Ga3Sb2
Source: Alexandria via LeMat-Bulk
Functional: PBE
Structure: relaxed Values from VASP.

Results
calculated density: 5.7 g/cm³
DOS at the Fermi energy: 0.278 states/eV/atom
ΔE_f (raw): 5 kJ per mole of atoms
DFT total energy: -3.4159 eV per atom

```
&SYSTEM
  ibrav = 0, nat = 10, ntyp = 2
/
ATOMIC_SPECIES
Sb 121.76 Sb.upf
Ga 69.72 Ga.upf
CELL_PARAMETERS angstrom
-1.142 -3.047 -6.549
-6.212 -3.629 -1.311
-4.898 2.623 -4.449
ATOMIC_POSITIONS angstrom
Sb -8.218 -4.962 -8.507
Sb -6.991 -0.312 -6.802
Sb -4.033 0.909 -3.803
Sb -5.260 -3.741 -5.508
Ga -8.334 -0.760 -4.333
Ga -7.624 -2.126 -8.902
Ga -4.254 0.443 -6.602
Ga -4.627 -1.927 -3.408
Ga -7.997 -4.496 -5.708
Ga -3.917 -3.293 -7.977
```

Compound: Li2PrMg2Cd2
Source: Alexandria via LeMat-Bulk
Functional: PBE
Structure: relaxed Values from VASP.

Results
calculated density: 4.4 g/cm³
DOS at the Fermi energy: 0.529 states/eV/atom
energy of formation: -20 kJ/mol of atoms
DFT total energy: -2.1511 eV per atom

```
&SYSTEM
  ibrav = 0, nat = 7, ntyp = 4
/
ATOMIC_SPECIES
Li 6.94 Li.upf
Pr 140.91 Pr.upf
Mg 24.30 Mg.upf
Cd 112.41 Cd.upf
CELL_PARAMETERS angstrom
-0.769 4.845 1.147
-2.137 -1.985 -4.112
-4.284 -2.173 6.306
ATOMIC_POSITIONS angstrom
Li -2.652 -0.838 1.762
Li -4.538 1.525 1.579
Pr 0.000 0.000 0.000
Mg -3.882 0.913 4.605
Mg -3.308 -0.226 -1.263
Cd -2.360 2.207 0.160
Cd -4.831 -1.520 3.181
```

Copy entry 2 word for word.
Compound: Ga3Sb2
Source: Alexandria via LeMat-Bulk
Functional: PBE
Structure: relaxed Values from VASP.

Results
calculated density: 5.7 g/cm³
DOS at the Fermi energy: 0.278 states/eV/atom
ΔE_f (raw): 5 kJ per mole of atoms
DFT total energy: -3.4159 eV per atom

```
&SYSTEM
  ibrav = 0, nat = 10, ntyp = 2
/
ATOMIC_SPECIES
Sb 121.76 Sb.upf
Ga 69.72 Ga.upf
CELL_PARAMETERS angstrom
-1.142 -3.047 -6.549
-6.212 -3.629 -1.311
-4.898 2.623 -4.449
ATOMIC_POSITIONS angstrom
Sb -8.218 -4.962 -8.507
Sb -6.991 -0.312 -6.802
Sb -4.033 0.909 -3.803
Sb -5.260 -3.741 -5.508
Ga -8.334 -0.760 -4.333
Ga -7.624 -2.126 -8.902
Ga -4.254 0.443 -6.602
Ga -4.627 -1.927 -3.408
Ga -7.997 -4.496 -5.708
Ga -3.917 -3.293 -7.977
```

Question: DOS at the Fermi energy of number 3 (Li2PrMg2Cd2)?
Answer: 0.529 states/eV/atom

Question: Which value of calculated density does entry 2 give?
Answer: 5.7 g/cm³